(1)
This record from the Alexandria database describes CdHgIr2 at its PBEsol-relaxed geometry. The functional is meta-GGA SCAN.

Calculated values
Formation energy = 0.42 eV/atom
Crystal system = trigonal
Space group = No. 166

```
data_CdHgIr2
_chemical_formula_sum 'Cd3 Hg3 Ir6'
_space_group_name_H-M_alt 'P 1'
_space_group_IT_number 1
_cell_length_a 2.883
_cell_length_b 2.883
_cell_length_c 27.299
_cell_angle_alpha 90.00
_cell_angle_beta 90.00
_cell_angle_gamma 120.00
loop_
_space_group_symop_operation_xyz
'x,y,z'
loop_
_atom_site_label
_atom_site_type_symbol
_atom_site_fract_x
_atom_site_fract_y
_atom_site_fract_z
_atom_site_occupancy
Cd1 Cd 0.000 0.000 0.000 1
Cd2 Cd 0.333 0.667 0.667 1
Cd3 Cd 0.667 0.333 0.333 1
Hg1 Hg 0.000 0.000 0.500 1
Hg2 Hg 0.333 0.667 0.167 1
Hg3 Hg 0.667 0.333 0.833 1
Ir1 Ir 0.000 0.000 0.251 1
Ir2 Ir 0.000 0.000 0.749 1
Ir3 Ir 0.333 0.667 0.416 1
Ir4 Ir 0.333 0.667 0.917 1
Ir5 Ir 0.667 0.333 0.083 1
Ir6 Ir 0.667 0.333 0.584 1
```


(2)
This record from the Alexandria database describes CdHgIr at its PBEsol-relaxed geometry. The functional is meta-GGA SCAN.

Calculated values
Formation energy = 0.36 eV/atom
Energy above the lowest structure with this stoichiometry = 0.0 meV/atom
Crystal system = tetragonal
Space group = No. 107

```
data_CdHgIr
_chemical_formula_sum 'Cd2 Hg2 Ir2'
_space_group_name_H-M_alt 'P 1'
_space_group_IT_number 1
_cell_length_a 3.003
_cell_length_b 3.003
_cell_length_c 11.863
_cell_angle_alpha 90.00
_cell_angle_beta 90.00
_cell_angle_gamma 90.00
loop_
_space_group_symop_operation_xyz
'x,y,z'
loop_
_atom_site_label
_atom_site_type_symbol
_atom_site_fract_x
_atom_site_fract_y
_atom_site_fract_z
_atom_site_occupancy
Cd1 Cd 0.000 0.000 0.000 1
Cd2 Cd 0.500 0.500 0.500 1
Hg1 Hg 0.000 0.000 0.690 1
Hg2 Hg 0.500 0.500 0.190 1
Ir1 Ir 0.000 0.000 0.348 1
Ir2 Ir 0.500 0.500 0.848 1
```


(3)
This record from the Alexandria database describes Cd2HgIr at its PBEsol-relaxed geometry. The functional is meta-GGA SCAN.

Calculated values
Formation energy = 0.19 eV/atom
Energy above the lowest structure with this stoichiometry = 0.0 meV/atom
Crystal system = tetragonal
Space group = No. 123

```
data_Cd2HgIr
_chemical_formula_sum 'Cd2 Hg1 Ir1'
_space_group_name_H-M_alt 'P 1'
_space_group_IT_number 1
_cell_length_a 4.131
_cell_length_b 4.131
_cell_length_c 4.170
_cell_angle_alpha 90.00
_cell_angle_beta 90.00
_cell_angle_gamma 90.00
loop_
_space_group_symop_operation_xyz
'x,y,z'
loop_
_atom_site_label
_atom_site_type_symbol
_atom_site_fract_x
_atom_site_fract_y
_atom_site_fract_z
_atom_site_occupancy
Cd1 Cd 0.000 0.500 0.000 1
Cd2 Cd 0.500 0.000 0.000 1
Hg1 Hg 0.000 0.000 0.500 1
Ir1 Ir 0.500 0.500 0.500 1
```


(4)
This record from the Alexandria database describes Cd2SnHgIr at its PBEsol-relaxed geometry. The functional is meta-GGA SCAN.

Calculated values
Formation energy = 1.02 eV/atom
Crystal system = tetragonal
Space group = No. 123

```
data_Cd2SnHgIr
_chemical_formula_sum 'Cd2 Sn1 Hg1 Ir1'
_space_group_name_H-M_alt 'P 1'
_space_group_IT_number 1
_cell_length_a 5.080
_cell_length_b 5.080
_cell_length_c 5.086
_cell_angle_alpha 90.00
_cell_angle_beta 90.00
_cell_angle_gamma 90.00
loop_
_space_group_symop_operation_xyz
'x,y,z'
loop_
_atom_site_label
_atom_site_type_symbol
_atom_site_fract_x
_atom_site_fract_y
_atom_site_fract_z
_atom_site_occupancy
Cd1 Cd 0.000 0.500 0.000 1
Cd2 Cd 0.500 0.000 0.000 1
Sn1 Sn 0.000 0.000 0.500 1
Hg1 Hg 0.500 0.500 0.000 1
Ir1 Ir 0.500 0.500 0.500 1
```